Below is LaDyZnGa after structural relaxation, with properties calculated at the GGA-PBE level.

a = 5.2021 Å, b = 5.2021 Å, c = 5.2021 Å
α = 60.00°, β = 60.00°, γ = 60.00°
Element x y z (fractional)
1 La 0.0000 0.0000 0.0000
2 Dy 0.5000 0.5000 0.5000
3 Zn 0.2500 0.2500 0.2500
4 Ga 0.7500 0.7500 0.7500

Properties
N(E_F) (states/eV per cell): 4.26
ΔH_f (0 K) (eV/atom): -0.45

***

Below is La2DyZn2Ga2 after structural relaxation, with properties calculated at the GGA-PBE level.

a = 9.8144 Å, b = 9.8144 Å, c = 9.8144 Å
α = 26.38°, β = 26.38°, γ = 26.38°
Element x y z (fractional)
1 La 0.1283 0.1283 0.1283
2 La 0.8717 0.8717 0.8717
3 Dy 0.0000 0.0000 0.0000
4 Zn 0.3915 0.3915 0.3915
5 Zn 0.6085 0.6085 0.6085
6 Ga 0.2702 0.2702 0.2702
7 Ga 0.7298 0.7298 0.7298

Properties
N(E_F) (states/eV per cell): 4.72
ΔH_f (0 K) (eV/atom): -0.42

***

Below is Li2DyGa after structural relaxation, with properties calculated at the GGA-PBE level.

a = 4.6690 Å, b = 4.6690 Å, c = 4.6690 Å
α = 60.00°, β = 60.00°, γ = 60.00°
Element x y z (fractional)
1 Li 0.2500 0.2500 0.2500
2 Li 0.7500 0.7500 0.7500
3 Dy 0.0000 0.0000 0.0000
4 Ga 0.5000 0.5000 0.5000

Properties
N(E_F) (states/eV per cell): 1.62
ΔH_f (0 K) (eV/atom): -0.26

***

Below is Li3Dy3Ga8 after structural relaxation, with properties calculated at the GGA-PBE level.

a = 8.3079 Å, b = 8.3079 Å, c = 8.3079 Å
α = 150.25°, β = 110.09°, γ = 77.78°
Element x y z (fractional)
1 Li 0.0000 0.0000 0.0000
2 Li 0.1937 0.5000 0.6937
3 Li 0.8063 0.5000 0.3063
4 Dy 0.2035 0.7035 0.5000
5 Dy 0.5000 0.0000 0.5000
6 Dy 0.7965 0.2965 0.5000
7 Ga 0.0751 0.8606 0.2146
8 Ga 0.2112 0.3460 0.8652
9 Ga 0.3540 0.1394 0.2146
10 Ga 0.4807 0.3460 0.1348
11 Ga 0.5193 0.6540 0.8652
12 Ga 0.6460 0.8606 0.7854
13 Ga 0.7888 0.6540 0.1348
14 Ga 0.9249 0.1394 0.7854

Properties
N(E_F) (states/eV per cell): 3.16
ΔH_f (0 K) (eV/atom): -0.51

***

Below is LiDy3Ga2 after structural relaxation, with properties calculated at the GGA-PBE level.

a = 5.0764 Å, b = 5.0764 Å, c = 12.4806 Å
α = 90.00°, β = 90.00°, γ = 120.00°
Element x y z (fractional)
1 Li 0.3333 0.6667 0.1733
2 Li 0.6667 0.3333 0.8267
3 Dy 0.0000 0.0000 0.2565
4 Dy 0.0000 0.0000 0.7435
5 Dy 0.3333 0.6667 0.4216
6 Dy 0.3333 0.6667 0.9180
7 Dy 0.6667 0.3333 0.0820
8 Dy 0.6667 0.3333 0.5784
9 Ga 0.0000 0.0000 0.0000
10 Ga 0.0000 0.0000 0.5000
11 Ga 0.3333 0.6667 0.6793
12 Ga 0.6667 0.3333 0.3207

Properties
N(E_F) (states/eV per cell): 9.49
ΔH_f (0 K) (eV/atom): -0.42

***

Below is LiDy2Ga8 after structural relaxation, with properties calculated at the GGA-PBE level.

a = 4.3037 Å, b = 4.3037 Å, c = 11.2406 Å
α = 90.00°, β = 90.00°, γ = 90.00°
Element x y z (fractional)
1 Li 0.0000 0.0000 0.0000
2 Dy 0.0000 0.0000 0.3114
3 Dy 0.0000 0.0000 0.6886
4 Ga 0.0000 0.5000 0.1247
5 Ga 0.0000 0.5000 0.5000
6 Ga 0.0000 0.5000 0.8753
7 Ga 0.5000 0.0000 0.1247
8 Ga 0.5000 0.0000 0.5000
9 Ga 0.5000 0.0000 0.8753
10 Ga 0.5000 0.5000 0.3060
11 Ga 0.5000 0.5000 0.6940

Properties
N(E_F) (states/eV per cell): 3.38
ΔH_f (0 K) (eV/atom): -0.41

***

Below is LiDy8Ga2 after structural relaxation, with properties calculated at the GGA-PBE level.

a = 9.2465 Å, b = 9.2465 Å, c = 6.8418 Å
α = 101.83°, β = 101.83°, γ = 31.65°
Element x y z (fractional)
1 Li 0.0000 0.0000 0.0000
2 Dy 0.0932 0.0932 0.4660
3 Dy 0.1630 0.1630 0.9596
4 Dy 0.3036 0.3036 0.6997
5 Dy 0.4732 0.4732 0.2401
6 Dy 0.5268 0.5268 0.7599
7 Dy 0.6964 0.6964 0.3003
8 Dy 0.8370 0.8370 0.0404
9 Dy 0.9068 0.9068 0.5340
10 Ga 0.3054 0.3054 0.2672
11 Ga 0.6946 0.6946 0.7328

Properties
N(E_F) (states/eV per cell): 11.33
ΔH_f (0 K) (eV/atom): -0.17

***

Below is LiDy2Ga3 after structural relaxation, with properties calculated at the GGA-PBE level.

a = 8.9383 Å, b = 8.5261 Å, c = 5.7145 Å
α = 74.86°, β = 67.04°, γ = 38.11°
Element x y z (fractional)
1 Li 0.1683 0.1683 0.8317
2 Li 0.8317 0.8317 0.1683
3 Dy 0.2469 0.7531 0.7531
4 Dy 0.2500 0.2500 0.2500
5 Dy 0.7500 0.7500 0.7500
6 Dy 0.7531 0.2469 0.2469
7 Ga 0.1652 0.6660 0.3340
8 Ga 0.3326 0.3326 0.6674
9 Ga 0.3340 0.8348 0.1652
10 Ga 0.6660 0.1652 0.8348
11 Ga 0.6674 0.6674 0.3326
12 Ga 0.8348 0.3340 0.6660

Properties
N(E_F) (states/eV per cell): 7.38
ΔH_f (0 K) (eV/atom): -0.55